1.
Material: Pm2SmTl3S6
Method: DFT, GGA-PBE
State: relaxed

Output
space group: C2/m, No. 12

Geometry as POSCAR:
```
Pm2SmTl3S6
1.0
3.587 -6.213 0.000
3.587 6.213 0.000
-2.392 0.000 7.503
Pm Sm Tl S
2 1 3 6
Cartesian
3.587 4.142 0.000
3.587 -4.142 0.000
3.587 0.000 0.000
-1.196 0.000 3.752
2.391 2.074 3.752
2.391 -2.074 3.752
0.005 2.063 5.983
1.205 0.000 1.522
0.005 -2.063 5.983
4.778 2.063 1.520
3.577 0.000 5.981
4.778 -2.063 1.520
```


2.
Material: PmSmTl2S4
Method: DFT, GGA-PBE
State: relaxed

Output
space group: P2/m, No. 10

Geometry as POSCAR:
```
PmSmTl2S4
1.0
7.167 0.000 0.000
0.000 4.137 0.000
-2.386 0.000 7.505
Pm Sm Tl S
1 1 2 4
Cartesian
0.000 0.000 0.000
3.584 2.069 0.000
-1.193 2.069 3.752
2.391 0.000 3.752
1.203 2.069 1.522
0.012 0.000 5.987
4.770 0.000 1.518
3.579 2.069 5.983
```


3.
Material: Pm4SmTmS8
Method: DFT, GGA-PBE
State: relaxed

Output
space group: R3m, No. 160

Geometry as POSCAR:
```
Pm4SmTmS8
1.0
4.119 2.378 6.672
-4.119 2.378 6.672
0.000 -4.756 6.672
Pm Sm Tm S
4 1 1 8
Cartesian
0.000 0.000 0.000
0.000 -2.376 10.875
-2.058 1.188 10.875
2.058 1.188 10.875
0.000 0.000 15.075
0.000 0.000 7.541
0.000 0.000 2.663
0.000 -2.171 5.893
-1.880 1.086 5.893
-1.891 -1.092 9.182
1.880 1.086 5.893
1.891 -1.092 9.182
0.000 2.183 9.182
0.000 0.000 12.426
```


4.
Material: PmSmTm2S6
Method: DFT, GGA-PBE
State: relaxed

Output
space group: R3, No. 146

Geometry as POSCAR:
```
PmSmTm2S6
1.0
3.483 2.011 6.150
-3.483 2.011 6.150
0.000 -4.021 6.150
Pm Sm Tm S
1 1 2 6
Cartesian
0.000 0.000 0.000
0.000 0.000 9.205
0.000 0.000 5.445
0.000 0.000 14.682
-2.072 -0.139 7.234
-1.401 -2.133 10.310
1.157 -1.725 7.234
-1.147 2.280 10.310
0.916 1.864 7.234
2.548 -0.147 10.310
```


5.
Material: PmSm2TmS6
Method: DFT, GGA-PBE
State: relaxed

Output
space group: R3, No. 146

Geometry as POSCAR:
```
PmSm2TmS6
1.0
3.517 2.031 6.225
-3.517 2.031 6.225
0.000 -4.061 6.225
Pm Sm Tm S
1 2 1 6
Cartesian
0.000 0.000 0.000
0.000 0.000 5.459
0.000 0.000 14.851
0.000 0.000 9.259
-2.060 0.007 7.443
-1.382 -1.938 10.528
1.024 -1.787 7.443
-0.987 2.166 10.528
1.036 1.780 7.443
2.369 -0.228 10.528
```


6.
Material: PmSm2TmS4
Method: DFT, GGA-PBE
State: relaxed

Output
space group: P2/m, No. 10

Geometry as POSCAR:
```
PmSm2TmS4
1.0
6.900 0.000 0.000
0.000 3.930 0.000
-2.246 0.000 6.555
Pm Sm Tm S
1 2 1 4
Cartesian
0.000 0.000 0.000
2.327 0.000 3.277
3.450 1.965 0.000
-1.123 1.965 3.277
-0.007 0.000 4.835
1.117 1.965 1.688
3.537 1.965 4.867
4.661 0.000 1.720
```


7.
Material: PmSmTm4S8
Method: DFT, GGA-PBE
State: relaxed

Output
space group: R3m, No. 160

Geometry as POSCAR:
```
PmSmTm4S8
1.0
4.003 2.311 6.619
-4.003 2.311 6.619
0.000 -4.622 6.619
Pm Sm Tm S
1 1 4 8
Cartesian
0.000 0.000 0.000
0.000 0.000 12.430
-1.992 -1.150 9.138
0.000 0.000 5.012
1.992 -1.150 9.138
0.000 2.301 9.138
0.000 -2.230 10.673
-1.931 1.115 10.673
0.000 0.000 7.634
-1.862 -1.075 14.238
1.931 1.115 10.673
0.000 0.000 17.153
1.862 -1.075 14.238
0.000 2.150 14.238
```


8.
Material: PmSmTm2S4
Method: DFT, GGA-PBE
State: relaxed

Output
space group: P2/m, No. 10

Geometry as POSCAR:
```
PmSmTm2S4
1.0
6.746 0.000 0.000
0.000 3.871 0.000
-2.230 0.000 6.590
Pm Sm Tm S
1 1 2 4
Cartesian
0.000 0.000 0.000
3.373 1.935 0.000
-1.115 1.935 3.295
2.258 0.000 3.295
0.018 0.000 4.826
1.137 1.935 1.768
3.379 1.935 4.822
4.498 0.000 1.764
```


9.
Material: Pm2Sm3TmS6
Method: DFT, GGA-PBE
State: relaxed

Output
space group: C2/m, No. 12

Geometry as POSCAR:
```
Pm2Sm3TmS6
1.0
3.451 -5.997 0.000
3.451 5.997 0.000
-2.305 0.000 6.510
Pm Sm Tm S
2 3 1 6
Cartesian
3.451 3.991 0.000
3.451 -3.991 0.000
-1.153 0.000 3.255
2.298 2.059 3.255
2.298 -2.059 3.255
3.451 0.000 0.000
0.035 1.934 4.918
1.225 0.000 1.618
0.035 -1.934 4.918
4.562 1.934 1.592
3.371 0.000 4.892
4.562 -1.934 1.592
```


10.
Material: PmSm3Tm3S8
Method: DFT, GGA-PBE
State: relaxed

Output
space group: R-3m, No. 166

Geometry as POSCAR:
```
PmSm3Tm3S8
1.0
3.916 2.261 6.449
-3.916 2.261 6.449
0.000 -4.521 6.449
Pm Sm Tm S
1 3 3 8
Cartesian
0.000 0.000 0.000
-3.916 0.000 9.673
-1.958 1.130 3.224
1.958 1.130 3.224
-1.958 -1.130 6.449
-1.958 1.130 12.897
0.000 2.261 6.449
0.000 0.000 4.931
0.000 -2.168 8.027
-1.877 1.084 8.027
-1.877 -1.084 11.319
1.877 1.084 8.027
1.877 -1.084 11.319
0.000 2.168 11.319
0.000 0.000 14.414
```


11.
Material: Pm2SmTmS6
Method: DFT, GGA-PBE
State: relaxed

Output
space group: R3, No. 146

Geometry as POSCAR:
```
Pm2SmTmS6
1.0
3.523 2.034 6.221
-3.523 2.034 6.221
0.000 -4.069 6.221
Pm Sm Tm S
2 1 1 6
Cartesian
0.000 0.000 0.000
0.000 0.000 9.286
0.000 0.000 3.830
0.000 0.000 13.097
-1.164 -2.281 8.155
-2.065 0.042 11.291
-1.394 2.148 8.155
0.996 -1.809 11.291
2.557 0.133 8.155
1.069 1.767 11.291
```


12.
Material: Pm2SmUS4
Method: DFT, GGA-PBE
State: relaxed

Output
space group: P2/m, No. 10

Geometry as POSCAR:
```
Pm2SmUS4
1.0
6.920 0.000 0.000
0.000 3.964 0.000
-2.272 0.000 6.541
Pm Sm U S
2 1 1 4
Cartesian
0.000 0.000 0.000
3.460 1.982 0.000
-1.136 1.982 3.271
2.324 0.000 3.271
0.057 0.000 4.870
1.191 1.982 1.690
3.456 1.982 4.851
4.591 0.000 1.672
```


13.
Material: PmSm2US8
Method: DFT, GGA-PBE
State: relaxed

Output
space group: P-1, No. 2

Geometry as POSCAR:
```
PmSm2US8
1.0
6.035 0.000 0.000
0.110 6.335 0.000
0.012 0.002 8.326
Pm Sm U S
1 2 1 8
Cartesian
0.000 0.000 0.000
3.071 3.170 2.112
3.086 3.166 6.214
0.006 0.001 4.163
1.323 3.695 8.325
1.511 4.180 4.169
1.498 0.820 6.079
1.497 0.812 2.242
4.659 5.524 6.084
4.659 5.517 2.247
4.646 2.157 4.157
4.834 2.642 0.002
```


14.
Material: Pm3SmY4S8
Method: DFT, GGA-PBE
State: relaxed

Output
space group: R-3m, No. 166

Geometry as POSCAR:
```
Pm3SmY4S8
1.0
3.959 2.285 6.540
-3.959 2.285 6.540
0.000 -4.571 6.540
Pm Sm Y S
3 1 4 8
Cartesian
-1.979 -1.143 6.540
-1.979 1.143 13.081
0.000 2.285 6.540
0.000 0.000 0.000
-3.959 0.000 9.810
-1.979 1.143 3.270
1.979 1.143 3.270
0.000 0.000 9.810
-1.985 -1.146 11.373
0.000 0.000 4.827
0.000 -2.293 8.248
-1.985 1.146 8.248
1.985 -1.146 11.373
0.000 2.293 11.373
0.000 0.000 14.794
1.985 1.146 8.248
```


15.
Material: Pm2SmYS6
Method: DFT, GGA-PBE
State: relaxed

Output
space group: R3, No. 146

Geometry as POSCAR:
```
Pm2SmYS6
1.0
3.537 2.042 6.248
-3.537 2.042 6.248
0.000 -4.085 6.248
Pm Sm Y S
2 1 1 6
Cartesian
0.000 0.000 0.000
0.000 0.000 9.339
0.000 0.000 3.845
0.000 0.000 13.171
-1.129 -2.284 8.187
-2.086 0.029 11.320
-1.414 2.120 8.187
1.017 -1.821 11.320
2.543 0.165 8.187
1.069 1.792 11.320
```


16.
Material: Pm3Sm3YS8
Method: DFT, GGA-PBE
State: relaxed

Output
space group: R-3m, No. 166

Geometry as POSCAR:
```
Pm3Sm3YS8
1.0
4.006 2.313 6.553
-4.006 2.313 6.553
0.000 -4.626 6.553
Pm Sm Y S
3 3 1 8
Cartesian
-2.003 -1.157 6.553
-2.003 1.157 13.106
0.000 2.313 6.553
-4.006 0.000 9.829
-2.003 1.157 3.276
2.003 1.157 3.276
0.000 0.000 9.829
0.000 0.000 4.900
-1.973 -1.139 11.429
0.000 -2.278 8.230
-1.973 1.139 8.230
1.973 -1.139 11.429
0.000 2.278 11.429
1.973 1.139 8.230
0.000 0.000 14.759
```


17.
Material: PmSm2Y3S6
Method: DFT, GGA-PBE
State: relaxed

Output
space group: C2/m, No. 12

Geometry as POSCAR:
```
PmSm2Y3S6
1.0
3.422 -5.948 0.000
3.422 5.948 0.000
-2.287 0.000 6.506
Pm Sm Y S
1 2 3 6
Cartesian
0.000 0.000 0.000
3.422 1.982 0.000
3.422 -1.982 0.000
2.279 3.972 3.253
2.279 0.000 3.253
2.279 -3.972 3.253
1.144 1.990 1.689
0.005 0.000 4.819
1.144 -1.990 1.689
3.413 1.990 4.817
4.553 0.000 1.687
3.413 -1.990 4.817
```


18.
Material: PmSmYS3
Method: DFT, GGA-PBE
State: relaxed

Output
space group: P2_1/m, No. 11

Geometry as POSCAR:
```
PmSmYS3
1.0
6.892 0.000 0.000
0.000 3.908 0.000
-2.227 0.000 10.140
Pm Sm Y S
2 2 2 6
Cartesian
0.668 0.977 1.980
3.998 2.931 8.161
0.589 2.931 5.632
4.076 0.977 4.508
0.634 0.977 8.835
4.031 2.931 1.305
-1.171 0.977 6.787
1.517 2.931 0.021
2.313 2.931 3.425
2.353 0.977 6.715
3.148 0.977 10.119
5.837 2.931 3.353
```


19.
Material: PmSm3Y3S8
Method: DFT, GGA-PBE
State: relaxed

Output
space group: R-3m, No. 166

Geometry as POSCAR:
```
PmSm3Y3S8
1.0
3.954 2.283 6.487
-3.954 2.283 6.487
0.000 -4.566 6.487
Pm Sm Y S
1 3 3 8
Cartesian
0.000 0.000 0.000
-3.954 0.000 9.731
-1.977 1.141 3.244
1.977 1.141 3.244
-1.977 -1.141 6.487
-1.977 1.141 12.975
0.000 2.283 6.487
0.000 0.000 4.918
0.000 -2.225 8.096
-1.927 1.113 8.096
-1.927 -1.113 11.366
1.927 1.113 8.096
1.927 -1.113 11.366
0.000 2.225 11.366
0.000 0.000 14.544
```


20.
Material: PmSmY2S4
Method: DFT, GGA-PBE
State: relaxed

Output
space group: P2/m, No. 10

Geometry as POSCAR:
```
PmSmY2S4
1.0
6.863 0.000 0.000
0.000 3.929 0.000
-2.257 0.000 6.563
Pm Sm Y S
1 1 2 4
Cartesian
0.000 0.000 0.000
3.431 1.965 0.000
-1.128 1.965 3.281
2.303 0.000 3.281
0.029 0.000 4.857
1.159 1.965 1.711
3.446 1.965 4.852
4.577 0.000 1.705
```


21.
Material: PmSm3Y4S8
Method: DFT, GGA-PBE
State: relaxed

Output
space group: R-3m, No. 166

Geometry as POSCAR:
```
PmSm3Y4S8
1.0
3.955 2.284 6.521
-3.955 2.284 6.521
0.000 -4.567 6.521
Pm Sm Y S
1 3 4 8
Cartesian
0.000 0.000 0.000
-1.978 -1.142 6.521
-1.978 1.142 13.042
0.000 2.284 6.521
-3.955 0.000 9.782
-1.978 1.142 3.261
1.978 1.142 3.261
0.000 0.000 9.782
0.000 0.000 4.829
-1.972 -1.138 11.345
0.000 -2.277 8.219
-1.972 1.138 8.219
1.972 -1.138 11.345
0.000 2.277 11.345
1.972 1.138 8.219
0.000 0.000 14.735
```


| no. | calculated total energy (eV per atom) |
| --- | --- |
| 1 | -5.3067 |
| 2 | -5.3058 |
| 3 | -6.2899 |
| 4 | -6.3630 |
| 5 | -6.3758 |
| 6 | -6.3935 |
| 7 | -6.2274 |
| 8 | -6.3519 |
| 9 | -6.4216 |
| 10 | -6.3841 |
| 11 | -6.3790 |
| 12 | -7.0952 |
| 13 | -6.3528 |
| 14 | -6.8787 |
| 15 | -6.5804 |
| 16 | -6.5880 |
| 17 | -6.8798 |
| 18 | -6.6607 |
| 19 | -6.8017 |
| 20 | -6.8773 |
| 21 | -6.8715 |